No. 1
The following is a DFT calculation (PBE-GGA) of crystalline Dy3Si3Pt2 at its relaxed geometry.

Results
space group	Cmcm (63)
uncorrected formation energy	-1.111	eV per atom
M_tot	0.00	Bohr magnetons per cell

Cell lengths 5.600, 5.600, 14.176 Å; angles 90.00, 90.00, 135.12 degrees
Sites, in units of the cell vectors:
Dy 0.091 0.909 0.611
Dy 0.091 0.909 0.889
Dy 0.371 0.629 0.750
Dy 0.629 0.371 0.250
Dy 0.909 0.091 0.111
Dy 0.909 0.091 0.389
Si 0.334 0.666 0.250
Si 0.387 0.613 0.535
Si 0.387 0.613 0.965
Si 0.613 0.387 0.035
Si 0.613 0.387 0.465
Si 0.666 0.334 0.750
Pt 0.195 0.805 0.101
Pt 0.195 0.805 0.399
Pt 0.805 0.195 0.601
Pt 0.805 0.195 0.899



No. 2
The following is a DFT calculation (PBE-GGA) of crystalline Dy3SiPt2 at its relaxed geometry.

Results
space group	Pnma (62)
uncorrected formation energy	-1.039	eV per atom
M_tot	0.00	Bohr magnetons per cell

Cell lengths 11.558, 4.090, 11.618 Å; angles 90.00, 90.00, 90.00 degrees
Sites, in units of the cell vectors:
Dy 0.055 0.250 0.120
Dy 0.119 0.750 0.560
Dy 0.199 0.250 0.810
Dy 0.301 0.750 0.310
Dy 0.381 0.250 0.060
Dy 0.445 0.750 0.620
Dy 0.555 0.250 0.380
Dy 0.619 0.750 0.940
Dy 0.699 0.250 0.690
Dy 0.801 0.750 0.190
Dy 0.881 0.250 0.440
Dy 0.945 0.750 0.880
Si 0.125 0.250 0.369
Si 0.375 0.750 0.869
Si 0.625 0.250 0.131
Si 0.875 0.750 0.631
Pt 0.021 0.750 0.309
Pt 0.186 0.750 0.988
Pt 0.314 0.250 0.488
Pt 0.479 0.250 0.809
Pt 0.521 0.750 0.191
Pt 0.686 0.750 0.512
Pt 0.814 0.250 0.012
Pt 0.979 0.250 0.691